MoAsP2 | GGA-PBE | optimized geometry

Calculated values
Calculated density ... 4.59 g cm⁻³
DFT formation energy ... 0.233 eV/atom
Fermi-level density of states ... 0.798 states/eV/atom

a = 5.586 Å, b = 5.586 Å, c = 10.802 Å
α = 90.00°, β = 90.00°, γ = 90.00°
Space group I-42d (No. 122)
Symmetry-distinct sites (fractional):
Mo1 0.000 0.000 0.000 (multiplicity 4)
As1 0.000 0.000 0.500 (multiplicity 4)
P1 0.232 0.250 0.125 (multiplicity 8)